1.
Below is AsIrAuC2 after structural relaxation, with properties calculated at the GGA-PBE level.

Cell lengths 2.8942, 4.5815, 6.3331 Å; angles 100.55, 95.77, 102.72 degrees
With the nearest neighbours (Å) after each atom.
Positions (direct):
As1 0.5089 0.8126 0.2174  2 Ir 2.59-2.63, 2 Au 2.59-2.67, 2 As 2.89
Ir1 0.1241 0.8822 0.5695  3 C 1.95-2.03
Au1 0.4333 0.2391 0.0076  1 C 2.23
C1 0.3939 0.3213 0.6713  1 C 1.31
C2 0.5336 0.5930 0.6275  1 C 1.31

Computed properties:
ΔH_f (0 K): 0.70 eV per atom
offset from the most stable computed form: 70.7 kJ/mol of formula units


2.
Below is Li4TbSm3Te8 after structural relaxation, with properties calculated at the GGA-PBE level.

Cell lengths 8.8052, 8.7198, 8.8038 Å; angles 120.36, 120.01, 90.00 degrees
With the nearest neighbours (Å) after each atom.
Positions (direct):
Li1 0.5000 0.0000 0.0000  6 Te 3.08-3.09
Li2 0.5000 0.0000 0.5000  6 Te 3.05-3.06
Li3 0.0000 0.0000 0.0000  6 Te 3.05-3.06
Li4 0.0000 0.0000 0.5000  6 Te 3.05-3.06
Tb1 0.0000 0.5000 0.0000  6 Te 3.11
Sm1 0.5000 0.5000 0.0000  6 Te 3.14
Sm2 0.5000 0.5000 0.5000  6 Te 3.14
Sm3 0.0000 0.5000 0.5000  6 Te 3.14
Te1 0.2512 0.7582 0.0075  3 Li 3.05-3.09, 1 Tb 3.11, 2 Sm 3.14
Te2 0.2512 0.7583 0.5024  3 Li 3.06-3.08, 1 Tb 3.11, 2 Sm 3.14
Te3 0.2465 0.2398 0.4929  3 Li 3.05-3.06, 3 Sm 3.14
Te4 0.7563 0.7582 0.0075  3 Li 3.05-3.09, 1 Tb 3.11, 2 Sm 3.14
Te5 0.2437 0.2418 0.9925  3 Li 3.05-3.09, 1 Tb 3.11, 2 Sm 3.14
Te6 0.7535 0.7602 0.5071  3 Li 3.05-3.06, 3 Sm 3.14
Te7 0.7488 0.2417 0.4976  3 Li 3.06-3.08, 1 Tb 3.11, 2 Sm 3.14
Te8 0.7488 0.2418 0.9925  3 Li 3.05-3.09, 1 Tb 3.11, 2 Sm 3.14

Computed properties:
raw formation energy: -1.30 eV per atom


Copy entry 1 word for word.
Below is AsIrAuC2 after structural relaxation, with properties calculated at the GGA-PBE level.

Cell lengths 2.8942, 4.5815, 6.3331 Å; angles 100.55, 95.77, 102.72 degrees
With the nearest neighbours (Å) after each atom.
Positions (direct):
As1 0.5089 0.8126 0.2174  2 Ir 2.59-2.63, 2 Au 2.59-2.67, 2 As 2.89
Ir1 0.1241 0.8822 0.5695  3 C 1.95-2.03
Au1 0.4333 0.2391 0.0076  1 C 2.23
C1 0.3939 0.3213 0.6713  1 C 1.31
C2 0.5336 0.5930 0.6275  1 C 1.31

Computed properties:
ΔH_f (0 K): 0.70 eV per atom
offset from the most stable computed form: 70.7 kJ/mol of formula units